# 1
Sc5Sb4N after structural relaxation. Source: Alexandria via LeMat-Bulk, functional PBE.

The structure in CIF format:
```
data_Sc5Sb4N
_chemical_formula_sum 'Sc5 Sb4 N1'
_cell_length_a 5.8654
_cell_length_b 6.8875
_cell_length_c 6.8875
_cell_angle_alpha 79.55
_cell_angle_beta 64.80
_cell_angle_gamma 64.80
_space_group_name_H-M_alt 'P 1'
_space_group_IT_number 1
_space_group_name_Hall 'P 1'
loop_
_atom_site_label
_atom_site_fract_x
_atom_site_fract_y
_atom_site_fract_z
Sb1 0.4246 0.3925 0.7698
Sb2 0.5870 0.6075 0.2302
Sb3 0.1945 0.2302 0.3925
Sb4 0.8172 0.7698 0.6075
N1 0.0566 0.0000 0.0000
Sc1 0.2500 0.8514 0.6560
Sc2 0.4157 0.0000 0.0000
Sc3 0.1014 0.6560 0.1486
Sc4 0.7574 0.1486 0.3440
Sc5 0.9060 0.3440 0.8514
```

For the uncorrected formation energy, the calculation gives -0.94 eV/atom. The final energy is -65.88 eV/f.u.

# 2
Sc2SbN after structural relaxation. Source: Alexandria via LeMat-Bulk, functional PBE.

The structure in CIF format:
```
data_Sc2SbN
_chemical_formula_sum 'Sc8 Sb4 N4'
_cell_length_a 3.8585
_cell_length_b 6.6965
_cell_length_c 11.9370
_cell_angle_alpha 90.00
_cell_angle_beta 90.00
_cell_angle_gamma 90.00
_space_group_name_H-M_alt 'P 1'
_space_group_IT_number 1
_space_group_name_Hall 'P 1'
loop_
_atom_site_label
_atom_site_fract_x
_atom_site_fract_y
_atom_site_fract_z
Sc1 0.2500 0.8363 0.5407
Sc2 0.2500 0.3363 0.9593
Sc3 0.7500 0.6637 0.0407
Sc4 0.7500 0.1637 0.4593
Sc5 0.2500 0.8734 0.2683
Sc6 0.7500 0.6266 0.7683
Sc7 0.7500 0.1266 0.7317
Sc8 0.2500 0.3734 0.2317
Sb1 0.2500 0.9080 0.8700
Sb2 0.2500 0.4080 0.6300
Sb3 0.7500 0.0920 0.1300
Sb4 0.7500 0.5920 0.3700
N1 0.7500 0.4482 0.9063
N2 0.2500 0.5518 0.0937
N3 0.2500 0.0518 0.4063
N4 0.7500 0.9482 0.5937
```

For the uncorrected formation energy, the calculation gives -1.27 eV/atom. The final energy is -30.21 eV/f.u. As for the relative energy among the computed polymorphs: 91 meV per atom.

# 3
Sc5Sb2N after structural relaxation. Source: Alexandria via LeMat-Bulk, functional PBE.

The structure in CIF format:
```
data_Sc5Sb2N
_chemical_formula_sum 'Sc10 Sb4 N2'
_cell_length_a 4.7006
_cell_length_b 7.7368
_cell_length_c 11.8961
_cell_angle_alpha 90.00
_cell_angle_beta 90.00
_cell_angle_gamma 107.69
_space_group_name_H-M_alt 'P 1'
_space_group_IT_number 1
_space_group_name_Hall 'P 1'
loop_
_atom_site_label
_atom_site_fract_x
_atom_site_fract_y
_atom_site_fract_z
Sc1 0.7245 0.4490 0.5883
Sc2 0.7059 0.4118 0.2500
Sc3 0.2755 0.5510 0.0883
Sc4 0.0766 0.1533 0.3710
Sc5 0.0766 0.1533 0.1290
Sc6 0.2755 0.5510 0.4117
Sc7 0.9234 0.8467 0.8710
Sc8 0.9234 0.8467 0.6290
Sc9 0.2941 0.5882 0.7500
Sc10 0.7245 0.4490 0.9117
Sb1 0.1229 0.2458 0.8972
Sb2 0.1229 0.2458 0.6028
Sb3 0.8771 0.7542 0.3972
Sb4 0.8771 0.7542 0.1028
N1 0.8100 0.6200 0.7500
N2 0.1900 0.3800 0.2500
```

For the uncorrected formation energy, the calculation gives -0.55 eV/atom. The final energy is -52.61 eV/f.u.

# 4
Sc3SbN after structural relaxation. Source: Alexandria via LeMat-Bulk, functional PBE.

The structure in CIF format:
```
data_Sc3SbN
_chemical_formula_sum 'Sc6 Sb2 N2'
_cell_length_a 4.4297
_cell_length_b 5.7948
_cell_length_c 8.4647
_cell_angle_alpha 107.22
_cell_angle_beta 90.00
_cell_angle_gamma 112.47
_space_group_name_H-M_alt 'P 1'
_space_group_IT_number 1
_space_group_name_Hall 'P 1'
loop_
_atom_site_label
_atom_site_fract_x
_atom_site_fract_y
_atom_site_fract_z
Sb1 0.4106 0.8211 0.6166
Sb2 0.5894 0.1789 0.3834
Sc1 0.8624 0.7248 0.3383
Sc2 0.1376 0.2752 0.6617
Sc3 0.6501 0.3002 0.9435
Sc4 0.3499 0.6998 0.0565
Sc5 0.9098 0.8195 0.8289
Sc6 0.0902 0.1805 0.1711
N1 0.1298 0.2596 0.9305
N2 0.8702 0.7404 0.0695
```

For the uncorrected formation energy, the calculation gives -1.08 eV/atom. The final energy is -36.84 eV/f.u.

# 5
Sc6Sb3N after structural relaxation. Source: Alexandria via LeMat-Bulk, functional PBE.

The structure in CIF format:
```
data_Sc6Sb3N
_chemical_formula_sum 'Sc12 Sb6 N2'
_cell_length_a 6.6082
_cell_length_b 8.6831
_cell_length_c 8.6831
_cell_angle_alpha 100.77
_cell_angle_beta 90.00
_cell_angle_gamma 90.00
_space_group_name_H-M_alt 'P 1'
_space_group_IT_number 1
_space_group_name_Hall 'P 1'
loop_
_atom_site_label
_atom_site_fract_x
_atom_site_fract_y
_atom_site_fract_z
Sb1 0.8977 0.6094 0.3906
Sb2 0.9888 0.0668 0.2736
Sb3 0.4888 0.2736 0.0668
Sb4 0.9888 0.7264 0.9332
Sb5 0.3977 0.3906 0.6094
Sb6 0.4888 0.9332 0.7264
Sc1 0.6650 0.8923 0.4096
Sc2 0.2189 0.7707 0.2293
Sc3 0.1433 0.0558 0.9442
Sc4 0.1975 0.3724 0.3037
Sc5 0.1650 0.1077 0.5904
Sc6 0.6433 0.9442 0.0558
Sc7 0.6650 0.5904 0.1077
Sc8 0.6975 0.3037 0.3724
Sc9 0.1975 0.6963 0.6276
Sc10 0.1650 0.4096 0.8923
Sc11 0.6975 0.6276 0.6963
Sc12 0.7189 0.2293 0.7707
N1 0.5231 0.8025 0.1975
N2 0.0231 0.1975 0.8025
```

For the uncorrected formation energy, the calculation gives -0.82 eV/atom. The final energy is -66.89 eV/f.u.

# 6
Sc4SbN after structural relaxation. Source: Alexandria via LeMat-Bulk, functional PBE.

The structure in CIF format:
```
data_Sc4SbN
_chemical_formula_sum 'Sc8 Sb2 N2'
_cell_length_a 5.4418
_cell_length_b 6.5628
_cell_length_c 7.3750
_cell_angle_alpha 104.45
_cell_angle_beta 111.66
_cell_angle_gamma 90.00
_space_group_name_H-M_alt 'P 1'
_space_group_IT_number 1
_space_group_name_Hall 'P 1'
loop_
_atom_site_label
_atom_site_fract_x
_atom_site_fract_y
_atom_site_fract_z
Sc1 0.8543 0.8160 0.6064
Sc2 0.7520 0.3159 0.6063
Sc3 0.5270 0.9378 0.2062
Sc4 0.1457 0.1840 0.3936
Sc5 0.6790 0.4378 0.2063
Sc6 0.3210 0.5622 0.7937
Sc7 0.4730 0.0622 0.7938
Sc8 0.2480 0.6841 0.3937
N1 0.5000 0.0000 0.5000
N2 0.0000 0.5000 0.5000
Sb1 0.1071 0.2500 0.9999
Sb2 0.8929 0.7500 0.0001
```

For the uncorrected formation energy, the calculation gives -0.89 eV/atom. The final energy is -43.14 eV/f.u.

# 7
Sc2SbN after structural relaxation. Source: Alexandria via LeMat-Bulk, functional PBE.

The structure in CIF format:
```
data_Sc2SbN
_chemical_formula_sum 'Sc2 Sb1 N1'
_cell_length_a 4.7056
_cell_length_b 4.7056
_cell_length_c 4.7056
_cell_angle_alpha 60.00
_cell_angle_beta 60.00
_cell_angle_gamma 60.00
_space_group_name_H-M_alt 'P 1'
_space_group_IT_number 1
_space_group_name_Hall 'P 1'
loop_
_atom_site_label
_atom_site_fract_x
_atom_site_fract_y
_atom_site_fract_z
Sb1 0.5000 0.5000 0.5000
Sc1 0.2500 0.2500 0.2500
Sc2 0.7500 0.7500 0.7500
N1 0.0000 0.0000 0.0000
```

For the uncorrected formation energy, the calculation gives -0.05 eV/atom. The final energy is -25.31 eV/f.u. As for the relative energy among the computed polymorphs: 1314 meV per atom.

# 8
Sc2SbN after structural relaxation. Source: Alexandria via LeMat-Bulk, functional PBE.

The structure in CIF format:
```
data_Sc2SbN
_chemical_formula_sum 'Sc4 Sb2 N2'
_cell_length_a 6.5051
_cell_length_b 6.5051
_cell_length_c 5.9424
_cell_angle_alpha 56.81
_cell_angle_beta 56.81
_cell_angle_gamma 90.00
_space_group_name_H-M_alt 'P 1'
_space_group_IT_number 1
_space_group_name_Hall 'P 1'
loop_
_atom_site_label
_atom_site_fract_x
_atom_site_fract_y
_atom_site_fract_z
Sb1 0.7500 0.2500 0.5000
Sb2 0.0000 0.0000 0.0000
Sc1 0.2313 0.6250 0.2500
Sc2 0.5187 0.1250 0.2500
Sc3 0.3750 0.4813 0.7500
Sc4 0.8750 0.7687 0.7500
N1 0.2500 0.7500 0.5000
N2 0.5000 0.5000 0.0000
```

For the uncorrected formation energy, the calculation gives -1.17 eV/atom. The final energy is -29.78 eV/f.u. As for the relative energy among the computed polymorphs: 199 meV per atom.

# 9
ScSb2N after structural relaxation. Source: Alexandria via LeMat-Bulk, functional PBE.

The structure in CIF format:
```
data_ScSb2N
_chemical_formula_sum 'Sc2 Sb4 N2'
_cell_length_a 6.6462
_cell_length_b 6.6462
_cell_length_c 6.1200
_cell_angle_alpha 57.11
_cell_angle_beta 57.11
_cell_angle_gamma 90.00
_space_group_name_H-M_alt 'P 1'
_space_group_IT_number 1
_space_group_name_Hall 'P 1'
loop_
_atom_site_label
_atom_site_fract_x
_atom_site_fract_y
_atom_site_fract_z
Sb1 0.5407 0.1250 0.2500
Sb2 0.2093 0.6250 0.2500
Sb3 0.3750 0.4593 0.7500
Sb4 0.8750 0.7907 0.7500
N1 0.5000 0.5000 0.0000
N2 0.2500 0.7500 0.5000
Sc1 0.7500 0.2500 0.5000
Sc2 0.0000 0.0000 0.0000
```

For the uncorrected formation energy, the calculation gives 0.20 eV/atom. The final energy is -22.11 eV/f.u.

# 10
Sc4Sb2N after structural relaxation. Source: Alexandria via LeMat-Bulk, functional PBE.

The structure in CIF format:
```
data_Sc4Sb2N
_chemical_formula_sum 'Sc4 Sb2 N1'
_cell_length_a 4.3473
_cell_length_b 4.3473
_cell_length_c 8.1209
_cell_angle_alpha 74.47
_cell_angle_beta 74.47
_cell_angle_gamma 90.00
_space_group_name_H-M_alt 'P 1'
_space_group_IT_number 1
_space_group_name_Hall 'P 1'
loop_
_atom_site_label
_atom_site_fract_x
_atom_site_fract_y
_atom_site_fract_z
N1 0.0000 0.0000 0.0000
Sc1 0.0000 0.5000 0.0000
Sc2 0.8430 0.8430 0.3140
Sc3 0.5000 0.0000 0.0000
Sc4 0.1570 0.1570 0.6860
Sb1 0.6457 0.6457 0.7086
Sb2 0.3543 0.3543 0.2914
```

For the uncorrected formation energy, the calculation gives -1.14 eV/atom. The final energy is -49.86 eV/f.u. As for the relative energy among the computed polymorphs: 0 meV per atom.

# 11
Sc2Sb2N after structural relaxation. Source: Alexandria via LeMat-Bulk, functional PBE.

The structure in CIF format:
```
data_Sc2Sb2N
_chemical_formula_sum 'Sc4 Sb4 N2'
_cell_length_a 6.9888
_cell_length_b 6.9888
_cell_length_c 4.2962
_cell_angle_alpha 90.00
_cell_angle_beta 90.00
_cell_angle_gamma 90.00
_space_group_name_H-M_alt 'P 1'
_space_group_IT_number 1
_space_group_name_Hall 'P 1'
loop_
_atom_site_label
_atom_site_fract_x
_atom_site_fract_y
_atom_site_fract_z
N1 0.5000 0.5000 0.0000
N2 0.0000 0.0000 0.0000
Sb1 0.1689 0.3311 0.0000
Sb2 0.6689 0.1689 0.0000
Sb3 0.8311 0.6689 0.0000
Sb4 0.3311 0.8311 0.0000
Sc1 0.6485 0.8515 0.5000
Sc2 0.1485 0.6485 0.5000
Sc3 0.8515 0.3515 0.5000
Sc4 0.3515 0.1485 0.5000
```

For the uncorrected formation energy, the calculation gives 0.20 eV/atom. The final energy is -28.24 eV/f.u. As for the relative energy among the computed polymorphs: 0 meV per atom.

# 12
Sc3Sb2N after structural relaxation. Source: Alexandria via LeMat-Bulk, functional PBE.

The structure in CIF format:
```
data_Sc3Sb2N
_chemical_formula_sum 'Sc6 Sb4 N2'
_cell_length_a 5.9031
_cell_length_b 6.6018
_cell_length_c 7.2146
_cell_angle_alpha 103.27
_cell_angle_beta 114.15
_cell_angle_gamma 90.00
_space_group_name_H-M_alt 'P 1'
_space_group_IT_number 1
_space_group_name_Hall 'P 1'
loop_
_atom_site_label
_atom_site_fract_x
_atom_site_fract_y
_atom_site_fract_z
Sc1 0.8906 0.9387 0.7685
Sc2 0.8779 0.4387 0.7685
Sc3 0.1094 0.0613 0.2315
Sc4 0.5832 0.7500 0.0000
Sc5 0.1221 0.5613 0.2315
Sc6 0.4168 0.2500 0.0000
N1 0.9527 0.7500 0.0000
N2 0.0473 0.2500 0.0000
Sb1 0.3258 0.9110 0.6351
Sb2 0.6907 0.5890 0.3649
Sb3 0.3093 0.4110 0.6351
Sb4 0.6742 0.0890 0.3649
```

For the uncorrected formation energy, the calculation gives -1.04 eV/atom. The final energy is -41.82 eV/f.u.